[1]
The following is a PBE calculation of Cs2KSbI6 after structural relaxation, from Alexandria.

a = 8.7958 Å, b = 9.2383 Å, c = 15.4073 Å
α = 90.00°, β = 124.61°, γ = 90.00°
Last column: nearest neighbours and their distance in Å.
Fractional coordinates of all 20 atoms:
1 Cs 0.2244 0.0744 0.2482  7 I 3.91-4.33
2 Cs 0.2244 0.4256 0.7482  7 I 3.91-4.33
3 Cs 0.7756 0.5744 0.2518  7 I 3.91-4.33
4 Cs 0.7756 0.9256 0.7518  7 I 3.91-4.33
5 K 0.5000 0.0000 0.0000  6 I 3.49-3.55
6 K 0.5000 0.5000 0.5000  6 I 3.49-3.55
7 Sb 0.0000 0.0000 0.5000  6 I 3.05-3.06
8 Sb 0.0000 0.5000 0.0000  6 I 3.05-3.06
9 I 0.1316 0.2212 0.9545  1 Sb 3.06
10 I 0.1316 0.2788 0.4545  1 Sb 3.06
11 I 0.2390 0.6812 0.9552  1 Sb 3.06
12 I 0.2390 0.8188 0.4552  1 Sb 3.06
13 I 0.3212 0.0172 0.7317  1 Sb 3.05
14 I 0.3212 0.4828 0.2317  1 Sb 3.05
15 I 0.6788 0.5172 0.7683  1 Sb 3.05
16 I 0.6788 0.9828 0.2683  1 Sb 3.05
17 I 0.7610 0.1812 0.5448  1 Sb 3.06
18 I 0.7610 0.3188 0.0448  1 Sb 3.06
19 I 0.8684 0.7212 0.5455  1 Sb 3.06
20 I 0.8684 0.7788 0.0455  1 Sb 3.06

## Properties
Formation energy without anion corrections   -1065 meV/atom
Spin magnetization   0.000 μB per cell
Energy relative to the lowest polymorph listed for this composition   0.000 eV/atom

[2]
The following is a PBE calculation of Ni2As2Pd after structural relaxation, from Alexandria.

a = 5.6790 Å, b = 5.6790 Å, c = 5.6790 Å
α = 139.76°, β = 139.76°, γ = 58.22°
Last column: nearest neighbours and their distance in Å.
Fractional coordinates of all 5 atoms:
1 Ni 0.2500 0.7500 0.5000  4 As 2.34
2 Ni 0.7500 0.2500 0.5000  4 As 2.34
3 As 0.1197 0.1197 0.0000  4 Ni 2.34, 1 As 2.38
4 As 0.8803 0.8803 0.0000  4 Ni 2.34, 1 As 2.38
5 Pd 0.5000 0.5000 0.0000  8 As 3.01, 8 Ni 3.16

## Properties
Spin magnetization   0.000 μB per cell
Energy relative to the lowest polymorph listed for this composition   0.063 eV/atom
Formation enthalpy at 0 K   -0.41 eV/f.u.

[3]
The following is a PBE calculation of Ta4AgS8 after structural relaxation, from Alexandria.

a = 6.7420 Å, b = 6.7420 Å, c = 9.0295 Å
α = 123.59°, β = 123.59°, γ = 60.03°
Last column: nearest neighbours and their distance in Å.
Fractional coordinates of all 13 atoms:
1 Ta 0.2464 0.2464 0.9951  6 S 2.47-2.51
2 Ta 0.2466 0.7534 0.0000  6 S 2.48-2.49
3 Ta 0.7534 0.2466 0.0000  6 S 2.48-2.49
4 Ta 0.7536 0.7536 0.0049  6 S 2.47-2.51
5 Ag 0.5000 0.5000 0.5000  6 S 2.73-2.75
6 S 0.0262 0.5272 0.2236  3 Ta 2.47-2.51, 1 Ag 2.75
7 S 0.0284 0.0284 0.2254  3 Ta 2.47-2.48
8 S 0.4728 0.9738 0.7764  3 Ta 2.47-2.51, 1 Ag 2.75
9 S 0.4736 0.4736 0.7796  3 Ta 2.49-2.51, 1 Ag 2.73
10 S 0.5264 0.5264 0.2204  3 Ta 2.49-2.51, 1 Ag 2.73
11 S 0.5272 0.0262 0.2236  3 Ta 2.47-2.51, 1 Ag 2.75
12 S 0.9716 0.9716 0.7746  3 Ta 2.47-2.48
13 S 0.9738 0.4728 0.7764  3 Ta 2.47-2.51, 1 Ag 2.75

## Properties
Formation energy without anion corrections   -900 meV/atom
Spin magnetization   0.000 μB per cell
Energy relative to the lowest polymorph listed for this composition   0.078 eV/atom

[4]
The following is a PBE calculation of KRbUSe3 after structural relaxation, from Alexandria.

a = 8.9281 Å, b = 8.9281 Å, c = 7.4967 Å
α = 95.61°, β = 95.61°, γ = 127.24°
Last column: nearest neighbours and their distance in Å.
Fractional coordinates of all 12 atoms:
1 K 0.0809 0.9191 0.7500  5 Se 3.17-3.28
2 K 0.9191 0.0809 0.2500  5 Se 3.17-3.28
3 Rb 0.2569 0.7431 0.2500  8 Se 3.77-4.22
4 Rb 0.7431 0.2569 0.7500  8 Se 3.77-4.22
5 U 0.4461 0.5539 0.7500  5 Se 2.67-2.81
6 U 0.5539 0.4461 0.2500  5 Se 2.67-2.81
7 Se 0.2320 0.3266 0.9966  2 U 2.80-2.81
8 Se 0.2792 0.7208 0.7500  1 U 2.67
9 Se 0.3266 0.2320 0.4966  2 U 2.80-2.81
10 Se 0.6734 0.7680 0.5034  2 U 2.80-2.81
11 Se 0.7208 0.2792 0.2500  1 U 2.67
12 Se 0.7680 0.6734 0.0034  2 U 2.80-2.81

## Properties
Formation energy without anion corrections   -1172 meV/atom
Spin magnetization   4.000 μB per cell

[5]
The following is a PBE calculation of La4Tb2Er2Tm after structural relaxation, from Alexandria.

a = 9.5871 Å, b = 9.5871 Å, c = 8.8737 Å
α = 90.03°, β = 90.03°, γ = 21.84°
Last column: nearest neighbours and their distance in Å.
Fractional coordinates of all 9 atoms:
1 La 0.0548 0.0548 0.3263  2 Tm 3.57, 1 Er 3.59, 4 Tb 3.62-3.72, 5 La 3.63-3.71
2 La 0.2772 0.2772 0.6737  3 Er 3.56-3.60, 3 Tb 3.61-3.72, 6 La 3.63-3.72
3 La 0.7228 0.7228 0.3263  3 Er 3.56-3.60, 3 Tb 3.61-3.72, 6 La 3.63-3.72
4 La 0.9452 0.9452 0.6737  2 Tm 3.57, 1 Er 3.59, 4 Tb 3.62-3.72, 5 La 3.63-3.71
5 Tb 0.3888 0.3888 0.3280  2 Er 3.56, 1 Tm 3.59, 7 La 3.61-3.72, 2 Tb 3.63
6 Tb 0.6112 0.6112 0.6720  2 Er 3.56, 1 Tm 3.59, 7 La 3.61-3.72, 2 Tb 3.63
7 Er 0.1656 0.1656 0.9975  4 La 3.56-3.60, 2 Tb 3.56, 2 Tm 3.61, 4 Er 3.63-3.66
8 Er 0.8344 0.8344 0.0025  4 La 3.56-3.60, 2 Tb 3.56, 2 Tm 3.61, 4 Er 3.63-3.66
9 Tm 0.5000 0.5000 0.0000  4 La 3.57, 2 Tb 3.59, 4 Er 3.61, 2 Tm 3.63

## Properties
Spin magnetization   0.006 μB per cell
Formation enthalpy at 0 K   0.28 eV/f.u.

[6]
The following is a PBE calculation of BaMgTl5 after structural relaxation, from Alexandria.

a = 5.2549 Å, b = 5.2549 Å, c = 8.1026 Å
α = 90.00°, β = 90.00°, γ = 90.00°
Last column: nearest neighbours and their distance in Å.
Fractional coordinates of all 7 atoms:
1 Ba 0.0000 0.0000 0.0000  12 Tl 3.57-3.72
2 Mg 0.0000 0.0000 0.5000  8 Tl 3.09
3 Tl 0.0000 0.5000 0.2982  2 Mg 3.09, 1 Tl 3.27
4 Tl 0.0000 0.5000 0.7018  2 Mg 3.09, 1 Tl 3.27
5 Tl 0.5000 0.0000 0.2982  2 Mg 3.09, 1 Tl 3.27
6 Tl 0.5000 0.0000 0.7018  2 Mg 3.09, 1 Tl 3.27
7 Tl 0.5000 0.5000 0.0000  8 Tl 3.57, 4 Ba 3.72

## Properties
Spin magnetization   0.000 μB per cell
Energy relative to the lowest polymorph listed for this composition   0.000 eV/atom
Formation enthalpy at 0 K   -1.00 eV/f.u.

> Look up the spin magnetization of the fourth one.

4.000 μB per cell

> Which value of spin magnetization does entry 2 give?

0.000 μB per cell